[1]
# NpPaCoIr

A relaxed NpPaCoIr crystal (PBE, the Alexandria database).

abc: 4.585 4.585 4.585
angles: 60.00 60.00 60.00
Fractional positions:
Np (0.750, 0.750, 0.750)
Pa (0.000, 0.000, 0.000)
Co (0.250, 0.250, 0.250)
Ir (0.500, 0.500, 0.500)

Energy of formation from the pure elements, meV/atom: -379

=====

[2]
# NpScCoIr

A relaxed NpScCoIr crystal (PBE, the Alexandria database).

abc: 4.645 4.645 4.645
angles: 60.00 60.00 60.00
Fractional positions:
Np (0.250, 0.250, 0.250)
Sc (0.750, 0.750, 0.750)
Ir (0.000, 0.000, 0.000)
Co (0.500, 0.500, 0.500)

Energy of formation from the pure elements, meV/atom: -317

=====

[3]
# NpCoSi3Ir

A relaxed NpCoSi3Ir crystal (PBE, the Alexandria database).

abc: 5.485 5.942 7.366
angles: 113.79 90.00 90.00
Fractional positions:
Np (0.750, 0.316, 0.632)
Np (0.250, 0.684, 0.368)
Co (0.250, 0.096, 0.192)
Co (0.750, 0.904, 0.808)
Si (0.250, 0.253, 0.506)
Si (0.000, 0.211, 0.000)
Si (0.500, 0.789, 0.000)
Si (0.500, 0.211, 0.000)
Si (0.000, 0.789, 0.000)
Si (0.750, 0.747, 0.494)
Ir (0.250, 0.423, 0.846)
Ir (0.750, 0.577, 0.154)

E_form (uncorrected), eV/atom: -0.239

=====

[4]
# Np2CoSi4Ir3

A relaxed Np2CoSi4Ir3 crystal (PBE, the Alexandria database).

abc: 4.088 4.088 9.862
angles: 90.00 90.00 90.00
Fractional positions:
Np (0.500, 0.000, 0.248)
Np (0.000, 0.500, 0.752)
Co (0.500, 0.500, 0.500)
Si (0.500, 0.500, 0.000)
Si (0.000, 0.000, 0.000)
Si (0.500, 0.000, 0.626)
Si (0.000, 0.500, 0.374)
Ir (0.000, 0.000, 0.500)
Ir (0.500, 0.000, 0.868)
Ir (0.000, 0.500, 0.132)

E_form (uncorrected), eV/atom: -0.654

=====

[5]
# NpCoSnIr

A relaxed NpCoSnIr crystal (PBE, the Alexandria database).

abc: 4.676 4.676 4.676
angles: 60.00 60.00 60.00
Fractional positions:
Np (0.500, 0.500, 0.500)
Ir (0.250, 0.250, 0.250)
Co (0.750, 0.750, 0.750)
Sn (0.000, 0.000, 0.000)

Energy of formation from the pure elements, meV/atom: -122

=====

[6]
# NpZnCoIr

A relaxed NpZnCoIr crystal (PBE, the Alexandria database).

abc: 4.517 4.517 4.517
angles: 60.00 60.00 60.00
Fractional positions:
Np (0.250, 0.250, 0.250)
Zn (0.750, 0.750, 0.750)
Ir (0.500, 0.500, 0.500)
Co (0.000, 0.000, 0.000)

Energy of formation from the pure elements, meV/atom: -115

=====

Calculated calculated total energy in order - -0.3667, -0.3354, -0.2855, -0.3227, -0.3068, -0.2815 Ha/atom